# 1
Material: MnAgTe2
Method: DFT, PBE
State: optimized geometry

Raw formation energy, eV per atom: 0.31
DOS(E_F), states/eV per atom: 2.059
Theoretical density, g cm⁻³: 7.3
Total DFT energy (no corrections), eV/atom: -4.270

Cell and atoms, written as POSCAR:
```
MnAgTe2
1.0
-2.861 -3.712 -2.783
4.361 -1.034 -3.102
2.603 -6.881 1.165
Te Mn Ag
4 2 2
Direct
0.453 0.953 0.093
0.703 0.703 0.593
0.047 0.547 0.907
0.297 0.297 0.407
0.250 0.750 0.500
0.500 0.500 0.000
0.750 0.250 0.500
0.000 0.000 0.000
```

=====

# 2
Material: MnAgTe2
Method: DFT, PBE
State: optimized geometry

Raw formation energy, eV per atom: -0.10
DOS(E_F), states/eV per atom: 0.311
Theoretical density, g cm⁻³: 6.0
Total DFT energy (no corrections), eV/atom: -4.675

Cell and atoms, written as POSCAR:
```
MnAgTe2
1.0
6.083 0.000 -0.936
2.589 6.239 -3.438
-2.589 6.239 3.438
Ag Te Mn
2 4 2
Direct
0.750 0.500 0.000
0.250 0.500 0.000
0.783 0.356 0.423
0.717 0.923 0.856
0.283 0.077 0.144
0.217 0.644 0.577
0.250 0.000 0.500
0.750 0.000 0.500
```

=====

# 3
Material: MnAgTe2
Method: DFT, PBE
State: optimized geometry

Raw formation energy, eV per atom: 0.48
DOS(E_F), states/eV per atom: 0.694
Theoretical density, g cm⁻³: 6.8
Total DFT energy (no corrections), eV/atom: -4.100

Cell and atoms, written as POSCAR:
```
MnAgTe2
1.0
1.820 0.000 11.868
-0.910 1.576 11.868
-0.910 -1.576 11.868
Ag Mn Te
1 1 2
Direct
0.500 0.500 0.500
0.000 0.000 0.000
0.925 0.925 0.925
0.075 0.075 0.075
```

=====

# 4
Material: MnAg2Te3
Method: DFT, PBE
State: optimized geometry

Raw formation energy, eV per atom: -0.08
DOS(E_F), states/eV per atom: 0.410
Theoretical density, g cm⁻³: 6.6
Total DFT energy (no corrections), eV/atom: -4.130

Cell and atoms, written as POSCAR:
```
MnAg2Te3
1.0
-0.936 0.034 7.242
0.863 -7.407 0.147
6.325 1.073 -2.869
Ag Te Mn
4 6 2
Direct
0.514 0.010 0.707
0.486 0.990 0.293
0.807 0.490 0.293
0.193 0.510 0.707
0.802 0.467 0.701
0.536 0.750 0.000
0.198 0.533 0.299
0.464 0.250 0.000
0.899 0.967 0.701
0.101 0.033 0.299
0.908 0.750 0.000
0.092 0.250 0.000
```

=====

# 5
Material: MnAgTe2
Method: DFT, PBE
State: optimized geometry

Raw formation energy, eV per atom: -0.06
DOS(E_F), states/eV per atom: 0.322
Theoretical density, g cm⁻³: 6.4
Total DFT energy (no corrections), eV/atom: -4.637

Cell and atoms, written as POSCAR:
```
MnAgTe2
1.0
-17.447 5.420 -8.354
0.680 -2.335 -2.936
2.251 -5.700 5.055
Ag Mn Te
4 4 8
Direct
0.535 0.250 0.430
0.965 0.750 0.070
0.465 0.750 0.570
0.035 0.250 0.930
0.708 0.750 0.858
0.792 0.250 0.642
0.208 0.750 0.358
0.292 0.250 0.142
0.849 0.250 0.075
0.872 0.750 0.584
0.151 0.750 0.925
0.372 0.750 0.084
0.628 0.250 0.916
0.349 0.250 0.575
0.128 0.250 0.416
0.651 0.750 0.425
```

=====

# 6
Material: MnAgTe2
Method: DFT, PBE
State: optimized geometry

Raw formation energy, eV per atom: -0.05
DOS(E_F), states/eV per atom: 0.340
Theoretical density, g cm⁻³: 6.1
Total DFT energy (no corrections), eV/atom: -4.628

Cell and atoms, written as POSCAR:
```
MnAgTe2
1.0
7.212 0.000 0.000
0.000 3.859 0.000
0.000 0.000 16.482
Ag Te Mn
4 8 4
Direct
0.405 0.750 0.059
0.905 0.750 0.441
0.595 0.250 0.941
0.095 0.250 0.559
0.811 0.250 0.804
0.794 0.750 0.057
0.206 0.250 0.943
0.311 0.250 0.696
0.294 0.750 0.443
0.189 0.750 0.196
0.689 0.750 0.304
0.706 0.250 0.557
0.055 0.250 0.099
0.555 0.250 0.401
0.445 0.750 0.599
0.945 0.750 0.901
```

=====

# 7
Material: MnAgTe2
Method: DFT, PBE
State: optimized geometry

Raw formation energy, eV per atom: 0.01
DOS(E_F), states/eV per atom: 0.675
Theoretical density, g cm⁻³: 7.1
Total DFT energy (no corrections), eV/atom: -4.561

Cell and atoms, written as POSCAR:
```
MnAgTe2
1.0
-6.513 -4.002 -1.668
0.587 -2.253 3.115
-6.876 8.183 7.214
Te Mn Ag
8 4 4
Direct
0.252 0.750 0.532
0.248 0.250 0.032
0.752 0.750 0.968
0.431 0.750 0.256
0.569 0.250 0.744
0.931 0.750 0.244
0.069 0.250 0.756
0.748 0.250 0.468
0.046 0.250 0.560
0.454 0.750 0.060
0.954 0.750 0.440
0.546 0.250 0.940
0.181 0.250 0.341
0.681 0.250 0.159
0.819 0.750 0.659
0.319 0.750 0.841
```

=====

# 8
Material: MnAgTe2
Method: DFT, PBE
State: optimized geometry

Raw formation energy, eV per atom: 0.23
DOS(E_F), states/eV per atom: 0.971
Theoretical density, g cm⁻³: 7.8
Total DFT energy (no corrections), eV/atom: -4.341

Cell and atoms, written as POSCAR:
```
MnAgTe2
1.0
1.614 -12.590 0.000
1.614 12.590 0.000
0.000 0.000 4.374
Te Mn Ag
4 2 2
Direct
0.790 0.210 0.750
0.103 0.897 0.750
0.210 0.790 0.250
0.897 0.103 0.250
0.315 0.685 0.250
0.685 0.315 0.750
0.035 0.965 0.250
0.965 0.035 0.750
```

=====

# 9
Material: MnAgTe2
Method: DFT, PBE
State: optimized geometry

Raw formation energy, eV per atom: 0.20
DOS(E_F), states/eV per atom: 0.544
Theoretical density, g cm⁻³: 6.8
Total DFT energy (no corrections), eV/atom: -4.375

Cell and atoms, written as POSCAR:
```
MnAgTe2
1.0
-2.832 5.518 4.629
-5.990 -4.524 1.729
3.511 -2.630 5.284
Mn Te Ag
4 8 4
Direct
0.033 0.377 0.999
0.967 0.623 0.499
0.467 0.877 0.499
0.533 0.123 0.999
0.461 0.835 0.142
0.163 0.857 0.612
0.039 0.335 0.642
0.961 0.665 0.142
0.337 0.357 0.112
0.663 0.643 0.612
0.539 0.165 0.642
0.837 0.143 0.112
0.669 0.484 0.997
0.169 0.016 0.997
0.331 0.516 0.497
0.831 0.984 0.497
```

=====

# 10
Material: MnAgTe2
Method: DFT, PBE
State: optimized geometry

Raw formation energy, eV per atom: 0.21
DOS(E_F), states/eV per atom: 0.540
Theoretical density, g cm⁻³: 7.7
Total DFT energy (no corrections), eV/atom: -4.371

Cell and atoms, written as POSCAR:
```
MnAgTe2
1.0
-0.191 -3.454 -0.576
-0.051 -0.574 3.459
-7.290 0.410 -0.040
Te Ag Mn
2 1 1
Direct
0.000 0.000 0.974
0.000 0.000 0.526
0.500 0.500 0.250
0.500 0.500 0.750
```

=====

# 11
Material: MnAgTe2
Method: DFT, PBE
State: optimized geometry

Raw formation energy, eV per atom: 0.27
DOS(E_F), states/eV per atom: 0.608
Theoretical density, g cm⁻³: 7.5
Total DFT energy (no corrections), eV/atom: -4.309

Cell and atoms, written as POSCAR:
```
MnAgTe2
1.0
-1.949 2.733 1.709
2.192 -1.122 4.294
3.625 3.217 -1.010
Ag Te Mn
1 2 1
Direct
0.500 0.500 0.000
0.000 0.000 0.000
0.000 0.500 0.500
0.500 0.000 0.500
```

=====

# 12
Material: MnAgTe
Method: DFT, PBE
State: optimized geometry

Raw formation energy, eV per atom: 0.24
DOS(E_F), states/eV per atom: 0.550
Theoretical density, g cm⁻³: 7.7
Total DFT energy (no corrections), eV/atom: -4.811

Cell and atoms, written as POSCAR:
```
MnAgTe
1.0
-4.296 -1.114 2.521
-1.619 -3.739 3.074
0.215 0.988 3.653
Ag Te Mn
1 1 1
Direct
0.999 0.999 0.001
0.674 0.674 0.326
0.328 0.328 0.672
```

=====

Which value of total DFT energy (no corrections) does entry 6 give?
-4.628 eV/atom

=====

Please write out number 2 again, unchanged.
Material: MnAgTe2
Method: DFT, PBE
State: optimized geometry

Raw formation energy, eV per atom: -0.10
DOS(E_F), states/eV per atom: 0.311
Theoretical density, g cm⁻³: 6.0
Total DFT energy (no corrections), eV/atom: -4.675

Cell and atoms, written as POSCAR:
```
MnAgTe2
1.0
6.083 0.000 -0.936
2.589 6.239 -3.438
-2.589 6.239 3.438
Ag Te Mn
2 4 2
Direct
0.750 0.500 0.000
0.250 0.500 0.000
0.783 0.356 0.423
0.717 0.923 0.856
0.283 0.077 0.144
0.217 0.644 0.577
0.250 0.000 0.500
0.750 0.000 0.500
```